VASP calculation (GGA-PBE) on crystalline Ca3Pa3ZnN8 at its relaxed geometry.

```
Ca3Pa3ZnN8
1.0
5.9583 -3.5071 0.0000
5.9583 3.5071 0.0000
-4.0867 0.0000 5.6576
Ca Pa Zn N
3 3 1 8
Direct
0.0000 0.0000 0.0000 Ca
0.0000 0.5000 0.5000 Ca
0.5000 0.0000 0.5000 Ca
0.0000 0.5000 0.0000 Pa
0.5000 0.0000 0.0000 Pa
0.5000 0.5000 0.5000 Pa
0.0000 0.0000 0.5000 Zn
0.2247 0.2247 0.7521 N
0.2421 0.7163 0.2527 N
0.2581 0.2581 0.2419 N
0.2837 0.7579 0.7473 N
0.7163 0.2421 0.2527 N
0.7419 0.7419 0.7581 N
0.7579 0.2837 0.7473 N
0.7753 0.7753 0.2479 N
```

Properties
- DFT total energy (eV per atom) = -7.888
- energy relative to the elements, uncorrected (kJ/mol of formula units) = -1538.5
- volume (Å³/f.u.) = 236.45
- space group = C2/m

VASP calculation (GGA-PBE) on crystalline Ca2PaZnN4 at its relaxed geometry.

```
Ca2PaZnN4
1.0
5.5405 0.0000 0.0000
0.0000 3.6347 0.0000
-1.3881 0.0000 5.7077
Ca Pa Zn N
2 1 1 4
Direct
0.0000 0.0000 0.0000 Ca
0.5000 0.5000 0.0000 Ca
0.0000 0.5000 0.5000 Pa
0.5000 0.0000 0.5000 Zn
0.2171 0.5000 0.2544 N
0.2502 0.0000 0.7114 N
0.7498 0.0000 0.2886 N
0.7829 0.5000 0.7456 N
```

Properties
- DFT total energy (eV per atom) = -6.884
- energy relative to the elements, uncorrected (kJ/mol of formula units) = -675.0
- volume (Å³/f.u.) = 114.94
- space group = P2/m

VASP calculation (GGA-PBE) on crystalline CaPa2ZnN5 at its relaxed geometry.

```
CaPa2ZnN5
1.0
-3.3008 3.3008 5.6543
3.3008 -3.3008 5.6543
3.3008 3.3008 -5.6543
Ca Pa Zn N
2 4 2 10
Direct
0.2500 0.2500 0.0000 Ca
0.7500 0.7500 0.0000 Ca
0.1711 0.6711 0.8421 Pa
0.3289 0.1711 0.5000 Pa
0.6711 0.8289 0.5000 Pa
0.8289 0.3289 0.1579 Pa
0.2500 0.7500 0.5000 Zn
0.7500 0.2500 0.5000 Zn
0.0000 0.0000 0.0000 N
0.0273 0.2202 0.5000 N
0.2202 0.7202 0.1929 N
0.2798 0.4727 0.5000 N
0.4727 0.9727 0.1929 N
0.5000 0.5000 0.0000 N
0.5273 0.0273 0.8071 N
0.7202 0.5273 0.5000 N
0.7798 0.2798 0.8071 N
0.9727 0.7798 0.5000 N
```

Properties
- DFT total energy (eV per atom) = -8.117
- energy relative to the elements, uncorrected (kJ/mol of formula units) = -883.4
- volume (Å³/f.u.) = 123.21
- space group = I4/mcm

VASP calculation (GGA-PBE) on crystalline Ca2ZrPaN4 at its relaxed geometry.

```
Ca2ZrPaN4
1.0
5.9265 0.0000 0.0000
0.0000 3.4573 0.0000
-1.9396 0.0000 5.6679
Ca Zr Pa N
2 1 1 4
Direct
0.0000 0.0000 0.0000 Ca
0.5000 0.5000 0.0000 Ca
0.0000 0.5000 0.5000 Zr
0.5000 0.0000 0.5000 Pa
0.2393 0.0000 0.7151 N
0.2576 0.5000 0.2842 N
0.7424 0.5000 0.7158 N
0.7607 0.0000 0.2849 N
```

Properties
- DFT total energy (eV per atom) = -8.407
- energy relative to the elements, uncorrected (kJ/mol of formula units) = -1149.2
- volume (Å³/f.u.) = 116.13
- space group = P2/m

VASP calculation (GGA-PBE) on crystalline Ca3ZrPa3N8 at its relaxed geometry.

```
Ca3ZrPa3N8
1.0
3.4895 2.0147 5.7013
-3.4895 2.0147 5.7013
0.0000 -4.0293 5.7013
Ca Zr Pa N
3 1 3 8
Direct
0.0000 0.5000 0.5000 Ca
0.5000 0.0000 0.5000 Ca
0.5000 0.5000 0.0000 Ca
0.5000 0.5000 0.5000 Zr
0.0000 0.0000 0.5000 Pa
0.0000 0.5000 0.0000 Pa
0.5000 0.0000 0.0000 Pa
0.2373 0.7279 0.7279 N
0.2423 0.2423 0.2423 N
0.2721 0.2721 0.7627 N
0.2721 0.7627 0.2721 N
0.7279 0.2373 0.7279 N
0.7279 0.7279 0.2373 N
0.7577 0.7577 0.7577 N
0.7627 0.2721 0.2721 N
```

Properties
- DFT total energy (eV per atom) = -8.745
- energy relative to the elements, uncorrected (kJ/mol of formula units) = -2077.4
- volume (Å³/f.u.) = 240.49
- space group = R-3m

VASP calculation (GGA-PBE) on crystalline CaZr3Pa2N6 at its relaxed geometry.

```
CaZr3Pa2N6
1.0
7.3509 -1.6765 0.0000
7.3509 1.6765 0.0000
-1.6441 0.0000 6.6017
Ca Zr Pa N
1 3 2 6
Direct
0.0000 0.0000 0.0000 Ca
0.0000 0.0000 0.5000 Zr
0.3361 0.3361 0.1697 Zr
0.6639 0.6639 0.8303 Zr
0.3341 0.3341 0.6678 Pa
0.6659 0.6659 0.3322 Pa
0.1613 0.1613 0.5941 N
0.1706 0.1706 0.0801 N
0.4982 0.4982 0.7335 N
0.5018 0.5018 0.2665 N
0.8294 0.8294 0.9199 N
0.8387 0.8387 0.4059 N
```

Properties
- DFT total energy (eV per atom) = -9.670
- energy relative to the elements, uncorrected (kJ/mol of formula units) = -1876.8
- volume (Å³/f.u.) = 162.71
- space group = C2/m

VASP calculation (GGA-PBE) on crystalline Ca3ZrPa2N6 at its relaxed geometry.

```
Ca3ZrPa2N6
1.0
3.0107 -5.2160 0.0000
3.0107 5.2160 0.0000
-1.9977 0.0000 5.6762
Ca Zr Pa N
3 1 2 6
Direct
0.0000 0.0000 0.0000 Ca
0.3364 0.6636 0.0000 Ca
0.6636 0.3364 0.0000 Ca
0.5000 0.5000 0.5000 Zr
0.1668 0.8332 0.5000 Pa
0.8332 0.1668 0.5000 Pa
0.0955 0.4284 0.2853 N
0.2392 0.2392 0.7161 N
0.4284 0.0955 0.2853 N
0.5716 0.9045 0.7147 N
0.7608 0.7608 0.2839 N
0.9045 0.5716 0.7147 N
```

Properties
- DFT total energy (eV per atom) = -8.442
- energy relative to the elements, uncorrected (kJ/mol of formula units) = -1717.9
- volume (Å³/f.u.) = 178.28
- space group = C2/m

VASP calculation (GGA-PBE) on crystalline CaZr2PaN4 at its relaxed geometry.

```
CaZr2PaN4
1.0
-3.3604 3.3962 4.7429
3.3604 -3.3962 4.7429
3.3604 3.3962 -4.7429
Ca Zr Pa N
2 4 2 8
Direct
0.5000 0.0000 0.0000 Ca
0.5000 0.5000 0.5000 Ca
0.0000 0.0000 0.0000 Zr
0.0000 0.0000 0.5000 Zr
0.0000 0.5000 0.0000 Zr
0.5000 0.0000 0.5000 Zr
0.0000 0.5000 0.5000 Pa
0.5000 0.5000 0.0000 Pa
0.2316 0.7487 0.4829 N
0.2342 0.2513 0.9829 N
0.2436 0.2375 0.4939 N
0.2436 0.7497 0.0061 N
0.7564 0.2503 0.9939 N
0.7564 0.7625 0.5061 N
0.7658 0.7487 0.0171 N
0.7684 0.2513 0.5171 N
```

Properties
- DFT total energy (eV per atom) = -9.325
- energy relative to the elements, uncorrected (kJ/mol of formula units) = -1225.5
- volume (Å³/f.u.) = 108.26
- space group = Imma

VASP calculation (GGA-PBE) on crystalline Ca2PbN at its relaxed geometry.

```
Ca2PbN
1.0
1.7941 1.0358 9.1482
-1.7941 1.0358 9.1482
0.0000 -2.0716 9.1482
Ca Pb N
2 1 1
Direct
0.1210 0.1210 0.1210 Ca
0.8790 0.8790 0.8790 Ca
0.0000 0.0000 0.0000 Pb
0.5000 0.5000 0.5000 N
```

Properties
- DFT total energy (eV per atom) = -4.607
- energy relative to the elements, uncorrected (kJ/mol of formula units) = -230.8
- volume (Å³/f.u.) = 102.00
- space group = R-3m

VASP calculation (GGA-PBE) on crystalline CaPb2N at its relaxed geometry.

```
CaPb2N
1.0
-4.6089 4.6089 2.4110
4.6089 -4.6089 2.4110
4.6089 4.6089 -2.4110
Ca Pb N
2 4 2
Direct
0.0000 0.0000 0.0000 Ca
0.7500 0.2500 0.5000 Ca
0.2435 0.6250 0.1185 Pb
0.3750 0.4935 0.6185 Pb
0.5065 0.1250 0.8815 Pb
0.8750 0.7565 0.3815 Pb
0.2500 0.7500 0.5000 N
0.5000 0.5000 0.0000 N
```

Properties
- DFT total energy (eV per atom) = -4.319
- energy relative to the elements, uncorrected (kJ/mol of formula units) = 45.1
- volume (Å³/f.u.) = 102.43
- space group = I-42d

VASP calculation (GGA-PBE) on crystalline Ca4PbN at its relaxed geometry.

```
Ca4PbN
1.0
8.7021 -3.4718 0.0000
8.7021 3.4718 0.0000
-1.7837 0.0000 5.6206
Ca Pb N
8 2 2
Direct
0.1229 0.6393 0.3461 Ca
0.1925 0.1925 0.1689 Ca
0.2321 0.7679 0.0000 Ca
0.3607 0.8771 0.6539 Ca
0.6393 0.1229 0.3461 Ca
0.7679 0.2321 0.0000 Ca
0.8075 0.8075 0.8311 Ca
0.8771 0.3607 0.6539 Ca
0.3147 0.3147 0.7906 Pb
0.6853 0.6853 0.2094 Pb
0.0740 0.0740 0.8542 N
0.9260 0.9260 0.1458 N
```

Properties
- DFT total energy (eV per atom) = -3.889
- energy above the lowest structure with this stoichiometry (meV per atom) = 109
- energy relative to the elements, uncorrected (kJ/mol of formula units) = -318.0
- volume (Å³/f.u.) = 169.81
- space group = C2/m

VASP calculation (GGA-PBE) on crystalline Ca2PbN at its relaxed geometry.

```
Ca2PbN
1.0
3.1258 -1.7770 0.0000
3.1258 1.7770 0.0000
-2.0000 0.0000 8.5652
Ca Pb N
2 1 1
Direct
0.2136 0.2136 0.1465 Ca
0.7864 0.7864 0.8535 Ca
0.0000 0.0000 0.5000 Pb
0.5000 0.5000 0.0000 N
```

Properties
- DFT total energy (eV per atom) = -4.706
- energy relative to the elements, uncorrected (kJ/mol of formula units) = -268.8
- volume (Å³/f.u.) = 95.15
- space group = C2/m

VASP calculation (GGA-PBE) on crystalline Ca4PbN at its relaxed geometry.

```
Ca4PbN
1.0
2.5290 -9.1333 0.0000
2.5290 9.1333 0.0000
0.0000 0.0000 7.0047
Ca Pb N
8 2 2
Direct
0.0000 0.0000 0.0000 Ca
0.0000 0.0000 0.5000 Ca
0.1809 0.8191 0.5075 Ca
0.1809 0.8191 0.9925 Ca
0.4112 0.5888 0.2500 Ca
0.5888 0.4112 0.7500 Ca
0.8191 0.1809 0.0075 Ca
0.8191 0.1809 0.4925 Ca
0.3905 0.6095 0.7500 Pb
0.6095 0.3905 0.2500 Pb
0.0944 0.9056 0.7500 N
0.9056 0.0944 0.2500 N
```

Properties
- DFT total energy (eV per atom) = -3.999
- energy above the lowest structure with this stoichiometry (meV per atom) = 0
- energy relative to the elements, uncorrected (kJ/mol of formula units) = -381.4
- volume (Å³/f.u.) = 161.80
- space group = Cmcm

VASP calculation (GGA-PBE) on crystalline Ca6Pb2N at its relaxed geometry.

```
Ca6Pb2N
1.0
3.6174 0.0000 0.0000
0.0000 7.7564 4.7941
0.0000 -7.7564 4.7941
Ca Pb N
6 2 1
Direct
0.0000 0.0000 0.0000 Ca
0.0000 0.6271 0.8317 Ca
0.0000 0.8317 0.6271 Ca
0.5000 0.3156 0.9279 Ca
0.5000 0.3773 0.3773 Ca
0.5000 0.9279 0.3156 Ca
0.0000 0.2226 0.5990 Pb
0.0000 0.5990 0.2226 Pb
0.5000 0.8088 0.8088 N
```

Properties
- DFT total energy (eV per atom) = -3.497
- energy above the lowest structure with this stoichiometry (meV per atom) = 269
- energy relative to the elements, uncorrected (kJ/mol of formula units) = -358.9
- volume (Å³/f.u.) = 269.02
- space group = Amm2

VASP calculation (GGA-PBE) on crystalline Ca2PbN at its relaxed geometry.

```
Ca2PbN
1.0
-3.5568 3.5568 4.3398
3.5568 -3.5568 4.3398
3.5568 3.5568 -4.3398
Ca Pb N
4 2 2
Direct
0.3750 0.2483 0.3733 Ca
0.7517 0.1250 0.1267 Ca
0.8750 0.0017 0.6267 Ca
0.9983 0.6250 0.8733 Ca
0.2500 0.7500 0.5000 Pb
0.5000 0.5000 0.0000 Pb
0.0000 0.0000 0.0000 N
0.7500 0.2500 0.5000 N
```

Properties
- DFT total energy (eV per atom) = -4.402
- energy relative to the elements, uncorrected (kJ/mol of formula units) = -151.7
- volume (Å³/f.u.) = 109.80
- space group = I-42d

VASP calculation (GGA-PBE) on crystalline Ca5Pb2N at its relaxed geometry.

```
Ca5Pb2N
1.0
8.8148 0.0000 0.0000
0.0000 7.1104 0.0000
0.0000 0.0000 14.2813
Ca Pb N
20 8 4
Direct
0.0000 0.0000 0.0000 Ca
0.0000 0.5000 0.0000 Ca
0.0246 0.2500 0.1983 Ca
0.1655 0.5019 0.6170 Ca
0.1655 0.9981 0.6170 Ca
0.2033 0.7500 0.4080 Ca
0.2967 0.2500 0.9080 Ca
0.3345 0.0019 0.1170 Ca
0.3345 0.4981 0.1170 Ca
0.4754 0.7500 0.6983 Ca
0.5000 0.0000 0.5000 Ca
0.5000 0.5000 0.5000 Ca
0.5246 0.2500 0.3017 Ca
0.6655 0.5019 0.8830 Ca
0.6655 0.9981 0.8830 Ca
0.7033 0.7500 0.0920 Ca
0.7967 0.2500 0.5920 Ca
0.8345 0.0019 0.3830 Ca
0.8345 0.4981 0.3830 Ca
0.9754 0.7500 0.8017 Ca
0.0215 0.7500 0.2096 Pb
0.1702 0.2500 0.4157 Pb
0.3298 0.7500 0.9157 Pb
0.4785 0.2500 0.7096 Pb
0.5215 0.7500 0.2904 Pb
0.6702 0.2500 0.0843 Pb
0.8298 0.7500 0.5843 Pb
0.9785 0.2500 0.7904 Pb
0.1750 0.2500 0.0644 N
0.3250 0.7500 0.5644 N
0.6750 0.2500 0.4356 N
0.8250 0.7500 0.9356 N
```

Properties
- DFT total energy (eV per atom) = -3.868
- energy relative to the elements, uncorrected (kJ/mol of formula units) = -500.9
- volume (Å³/f.u.) = 223.78
- space group = Pnma

VASP calculation (GGA-PBE) on crystalline Ca2PbN2 at its relaxed geometry.

```
Ca2PbN2
1.0
3.5967 0.0000 0.0000
0.0000 13.9456 0.0000
0.0000 0.0000 3.6057
Ca Pb N
4 2 4
Direct
0.2500 0.0809 0.2471 Ca
0.2500 0.4191 0.2471 Ca
0.7500 0.5809 0.7529 Ca
0.7500 0.9191 0.7529 Ca
0.2500 0.7500 0.3482 Pb
0.7500 0.2500 0.6518 Pb
0.2500 0.5915 0.2239 N
0.2500 0.9085 0.2239 N
0.7500 0.0915 0.7761 N
0.7500 0.4085 0.7761 N
```

Properties
- DFT total energy (eV per atom) = -5.263
- energy relative to the elements, uncorrected (kJ/mol of formula units) = -188.6
- volume (Å³/f.u.) = 90.43
- space group = Pmmn

VASP calculation (GGA-PBE) on crystalline Ca2PbN at its relaxed geometry.

```
Ca2PbN
1.0
0.0000 3.6226 3.6226
3.6226 0.0000 3.6226
3.6226 3.6226 0.0000
Ca Pb N
2 1 1
Direct
0.2500 0.2500 0.2500 Ca
0.7500 0.7500 0.7500 Ca
0.0000 0.0000 0.0000 Pb
0.5000 0.5000 0.5000 N
```

Properties
- DFT total energy (eV per atom) = -3.678
- energy relative to the elements, uncorrected (kJ/mol of formula units) = 127.7
- volume (Å³/f.u.) = 95.08
- space group = Fm-3m

VASP calculation (GGA-PBE) on crystalline Ca4Pb2N at its relaxed geometry.

```
Ca4Pb2N
1.0
-2.5049 2.5049 7.8696
2.5049 -2.5049 7.8696
2.5049 2.5049 -7.8696
Ca Pb N
4 2 1
Direct
0.0000 0.5000 0.5000 Ca
0.1530 0.1530 0.0000 Ca
0.5000 0.0000 0.5000 Ca
0.8470 0.8470 0.0000 Ca
0.3647 0.3647 0.0000 Pb
0.6353 0.6353 0.0000 Pb
0.0000 0.0000 0.0000 N
```

Properties
- DFT total energy (eV per atom) = -3.951
- energy above the lowest structure with this stoichiometry (meV per atom) = 0
- energy relative to the elements, uncorrected (kJ/mol of formula units) = -376.8
- volume (Å³/f.u.) = 197.51
- space group = I4/mmm

VASP calculation (GGA-PBE) on crystalline Ca6Pb2N at its relaxed geometry.

```
Ca6Pb2N
1.0
0.0000 5.0171 5.0171
5.0171 0.0000 5.0171
5.0171 5.0171 0.0000
Ca Pb N
6 2 1
Direct
0.2381 0.2381 0.7619 Ca
0.2381 0.7619 0.2381 Ca
0.2381 0.7619 0.7619 Ca
0.7619 0.2381 0.2381 Ca
0.7619 0.2381 0.7619 Ca
0.7619 0.7619 0.2381 Ca
0.2500 0.2500 0.2500 Pb
0.7500 0.7500 0.7500 Pb
0.0000 0.0000 0.0000 N
```

Properties
- DFT total energy (eV per atom) = -3.766
- energy above the lowest structure with this stoichiometry (meV per atom) = 0
- energy relative to the elements, uncorrected (kJ/mol of formula units) = -592.6
- volume (Å³/f.u.) = 252.58
- space group = Fm-3m

VASP calculation (GGA-PBE) on crystalline Ca4Pb2N at its relaxed geometry.

```
Ca4Pb2N
1.0
2.6448 -12.4342 0.0000
2.6448 12.4342 0.0000
0.0000 0.0000 3.4697
Ca Pb N
4 2 1
Direct
0.0596 0.9404 0.0000 Ca
0.2029 0.7971 0.5000 Ca
0.7971 0.2029 0.5000 Ca
0.9404 0.0596 0.0000 Ca
0.3342 0.6658 0.0000 Pb
0.6658 0.3342 0.0000 Pb
0.0000 0.0000 0.5000 N
```

Properties
- DFT total energy (eV per atom) = -3.802
- energy above the lowest structure with this stoichiometry (meV per atom) = 149
- energy relative to the elements, uncorrected (kJ/mol of formula units) = -276.3
- volume (Å³/f.u.) = 228.21
- space group = Cmmm